DFT (PBE) results for a relaxed structure of SrCrSnHg2.

Properties
- Calculated total energy: -13.87 eV/f.u.
- Mass density: 6.8 g/cm3
- Formation energy from the elements: 0.409 eV/atom

Cell and atoms, written as CIF:
```
data_SrCrSnHg2
_cell_length_a 5.254
_cell_length_b 5.254
_cell_length_c 5.860
_cell_angle_alpha 90.00
_cell_angle_beta 90.00
_cell_angle_gamma 90.00
_symmetry_space_group_name_H-M 'P 4/m m m'
_symmetry_Int_Tables_number 123
_symmetry_space_group_name_Hall '-P 4 2'
loop_
_atom_site_label
_atom_site_type_symbol
_atom_site_fract_x
_atom_site_fract_y
_atom_site_fract_z
Sr1 Sr 0.000 0.000 0.000
Cr1 Cr 0.000 0.000 0.500
Sn1 Sn 0.500 0.500 0.000
Hg1 Hg 0.000 0.500 0.500
```